Below is a relaxed KTcPt crystal, with properties calculated at the PBE level.

abc: 4.190 4.190 11.115
angles: 90.00 90.00 120.00
Fractional coordinates of all 6 atoms:
Pt1 0.333 0.667 0.750
K1 0.000 0.000 0.000
Pt2 0.667 0.333 0.250
Tc1 0.667 0.333 0.750
Tc2 0.333 0.667 0.250
K2 0.000 0.000 0.500

Results
space-group type	P6_3/mmc (194)
E above lowest polymorph	593	meV per atom
V	169.0	Å³ per cell
energy relative to the elements	212	kJ/mol of formula units


Below is a relaxed KTcPt crystal, with properties calculated at the PBE level.

abc: 2.915 14.729 2.916
angles: 88.52 90.00 90.75
Fractional coordinates of all 6 atoms:
Pt1 0.479 0.988 0.590
Tc1 0.970 0.862 0.106
Tc2 0.463 0.747 0.621
Pt2 0.954 0.621 0.137
K1 0.990 0.159 0.067
K2 0.443 0.450 0.660

Results
space-group type	P-1 (2)
E above lowest polymorph	100	meV per atom
V	125.1	Å³ per cell
energy relative to the elements	69	kJ/mol of formula units


Below is a relaxed KTc2Pt crystal, with properties calculated at the PBE level.

abc: 10.648 10.648 10.648
angles: 15.10 15.10 15.10
Fractional coordinates of all 4 atoms:
Pt1 0.750 0.750 0.750
Tc1 0.487 0.487 0.487
K1 0.250 0.250 0.250
Tc2 0.013 0.013 0.013

Results
space-group type	R-3m (166)
E above lowest polymorph	330	meV per atom
V	71.3	Å³ per cell
energy relative to the elements	286	kJ/mol of formula units


Below is a relaxed KTc2Pt crystal, with properties calculated at the PBE level.

abc: 3.350 3.350 7.871
angles: 90.00 90.00 90.00
Fractional coordinates of all 4 atoms:
Pt1 0.500 0.500 0.750
Tc1 0.000 0.000 0.901
Tc2 0.000 0.000 0.599
K1 0.500 0.500 0.250

Results
space-group type	P4/mmm (123)
E above lowest polymorph	470	meV per atom
V	88.3	Å³ per cell
energy relative to the elements	340	kJ/mol of formula units


Below is a relaxed KTcPt crystal, with properties calculated at the PBE level.

abc: 7.828 4.108 7.766
angles: 90.00 90.00 90.00
Fractional coordinates of all 12 atoms:
Pt1 0.217 0.250 0.314
K1 0.988 0.250 0.874
K2 0.488 0.250 0.626
Pt2 0.717 0.250 0.186
Pt3 0.283 0.750 0.814
Tc1 0.585 0.750 0.970
Tc2 0.915 0.250 0.470
K3 0.512 0.750 0.374
Tc3 0.085 0.750 0.530
Pt4 0.783 0.750 0.686
Tc4 0.415 0.250 0.030
K4 0.012 0.750 0.126

Results
space-group type	Pnma (62)
E above lowest polymorph	305	meV per atom
V	249.7	Å³ per cell
energy relative to the elements	129	kJ/mol of formula units


Below is a relaxed KTc2Pt crystal, with properties calculated at the PBE level.

abc: 2.761 2.761 10.281
angles: 90.00 90.00 115.78
Fractional coordinates of all 4 atoms:
Pt1 0.500 0.500 0.775
Tc1 0.000 0.000 0.007
Tc2 0.500 0.500 0.212
K1 0.000 0.000 0.506

Results
space-group type	Cmm2 (35)
E above lowest polymorph	137	meV per atom
V	70.6	Å³ per cell
energy relative to the elements	212	kJ/mol of formula units